[1]
{
  "formula": "ScHgBr",
  "functional": "GGA-PBEsol",
  "state": "optimized geometry",
  "e_form_raw_kj_per_mol_atoms": -66.0,
  "lattice_angstrom": [[3.339, 0.000, 0.000], [0.000, 3.339, 0.000], [0.000, 0.000, 12.656]],
  "species": ["Sc", "Sc", "Hg", "Hg", "Br", "Br"],
  "frac_coords": [[0.000, 0.000, 0.000], [0.500, 0.500, 0.500], [0.000, 0.000, 0.354], [0.500, 0.500, 0.854], [0.000, 0.000, 0.622], [0.500, 0.500, 0.122]]
}

[2]
{
  "formula": "Sr2LiN",
  "functional": "GGA-PBEsol",
  "state": "optimized geometry",
  "e_form_raw_kj_per_mol_atoms": -33.8,
  "lattice_angstrom": [[3.858, 0.000, 0.000], [0.000, 3.858, 0.000], [0.000, 0.000, 13.717]],
  "species": ["Sr", "Sr", "Sr", "Sr", "Li", "Li", "N", "N"],
  "frac_coords": [[0.000, 0.000, 0.000], [0.000, 0.000, 0.315], [0.500, 0.500, 0.500], [0.500, 0.500, 0.815], [0.000, 0.000, 0.685], [0.500, 0.500, 0.185], [0.000, 0.000, 0.827], [0.500, 0.500, 0.327]]
}

[3]
{
  "formula": "ReAg",
  "functional": "GGA-PBEsol",
  "state": "optimized geometry",
  "delta_e_f_ev_per_atom": 0.694,
  "lattice_angstrom": [[3.981, 0.000, 0.000], [0.000, 3.981, 0.000], [0.000, 0.000, 7.638]],
  "species": ["Re", "Re", "Re", "Re", "Ag", "Ag", "Ag", "Ag"],
  "frac_coords": [[0.000, 0.250, 0.375], [0.000, 0.750, 0.625], [0.500, 0.250, 0.125], [0.500, 0.750, 0.875], [0.000, 0.250, 0.875], [0.000, 0.750, 0.125], [0.500, 0.250, 0.625], [0.500, 0.750, 0.375]]
}

[4]
{
  "formula": "ScMnRe2",
  "functional": "GGA-PBEsol",
  "state": "optimized geometry",
  "delta_e_f_ev_per_atom": 0.107,
  "lattice_angstrom": [[2.710, 0.000, 0.000], [0.000, 4.366, 0.000], [-0.866, 0.000, 4.919]],
  "species": ["Sc", "Mn", "Re", "Re"],
  "frac_coords": [[0.000, 0.000, 0.000], [0.500, 0.000, 0.500], [0.270, 0.500, 0.745], [0.730, 0.500, 0.255]]
}

[5]
{
  "formula": "ZrAsS2N",
  "functional": "GGA-PBEsol",
  "state": "optimized geometry",
  "e_form_raw_kj_per_mol_atoms": 18.2,
  "lattice_angstrom": [[4.679, 0.000, 0.000], [0.000, 4.679, 0.000], [0.000, 0.000, 3.666]],
  "species": ["Zr", "As", "S", "S", "N"],
  "frac_coords": [[0.000, 0.000, 0.000], [0.500, 0.500, 0.500], [0.000, 0.500, 0.500], [0.500, 0.000, 0.500], [0.500, 0.500, 0.000]]
}

[6]
{
  "formula": "ZrCdHg2",
  "functional": "GGA-PBEsol",
  "state": "optimized geometry",
  "delta_e_f_ev_per_atom": -0.058,
  "lattice_angstrom": [[3.085, 0.000, 0.000], [0.000, 5.241, 0.000], [0.000, 0.000, 10.438]],
  "species": ["Zr", "Zr", "Cd", "Cd", "Hg", "Hg", "Hg", "Hg"],
  "frac_coords": [[0.000, 0.000, 0.000], [0.500, 0.500, 0.500], [0.000, 0.500, 0.246], [0.500, 0.000, 0.746], [0.000, 0.000, 0.496], [0.000, 0.500, 0.746], [0.500, 0.000, 0.246], [0.500, 0.500, 0.996]]
}

[7]
{
  "formula": "YMoC2",
  "functional": "GGA-PBEsol",
  "state": "optimized geometry",
  "delta_e_f_ev_per_atom": -0.335,
  "lattice_angstrom": [[5.643, 0.000, 0.000], [0.000, 3.365, 0.000], [0.000, 0.000, 10.665]],
  "species": ["Y", "Y", "Y", "Y", "Mo", "Mo", "Mo", "Mo", "C", "C", "C", "C", "C", "C", "C", "C"],
  "frac_coords": [[0.086, 0.250, 0.138], [0.414, 0.750, 0.638], [0.586, 0.250, 0.362], [0.914, 0.750, 0.862], [0.097, 0.750, 0.391], [0.403, 0.250, 0.891], [0.597, 0.750, 0.109], [0.903, 0.250, 0.609], [0.159, 0.250, 0.752], [0.223, 0.250, 0.484], [0.277, 0.750, 0.984], [0.341, 0.750, 0.252], [0.659, 0.250, 0.748], [0.723, 0.250, 0.016], [0.777, 0.750, 0.516], [0.841, 0.750, 0.248]]
}

[8]
{
  "formula": "TaAgBr2",
  "functional": "GGA-PBEsol",
  "state": "optimized geometry",
  "e_form_raw_kj_per_mol_atoms": 72.5,
  "lattice_angstrom": [[3.829, 0.000, 0.000], [0.000, 3.829, 0.000], [0.000, 0.000, 10.839]],
  "species": ["Ta", "Ta", "Ag", "Ag", "Br", "Br", "Br", "Br"],
  "frac_coords": [[0.000, 0.000, 0.000], [0.500, 0.500, 0.500], [0.000, 0.500, 0.250], [0.500, 0.000, 0.750], [0.000, 0.000, 0.500], [0.000, 0.500, 0.750], [0.500, 0.000, 0.250], [0.500, 0.500, 0.000]]
}

[9]
{
  "formula": "AlFe3Ru",
  "functional": "GGA-PBEsol",
  "state": "optimized geometry",
  "delta_e_f_ev_per_atom": 1.434,
  "lattice_angstrom": [[4.175, 0.000, 0.000], [0.000, 4.175, 0.000], [0.000, 0.000, 4.175]],
  "species": ["Al", "Fe", "Fe", "Fe", "Ru"],
  "frac_coords": [[0.000, 0.000, 0.000], [0.000, 0.000, 0.500], [0.000, 0.500, 0.000], [0.500, 0.000, 0.000], [0.500, 0.500, 0.500]]
}

[10]
{
  "formula": "Zr2HgAu",
  "functional": "GGA-PBEsol",
  "state": "optimized geometry",
  "delta_e_f_ev_per_atom": -0.379,
  "lattice_angstrom": [[3.053, 0.000, 0.000], [0.000, 4.946, 0.000], [0.000, 0.000, 5.200]],
  "species": ["Zr", "Zr", "Hg", "Au"],
  "frac_coords": [[0.000, 0.000, 0.000], [0.000, 0.500, 0.379], [0.500, 0.000, 0.509], [0.500, 0.500, 0.867]]
}

[11]
{
  "formula": "KNbS3",
  "functional": "GGA-PBEsol",
  "state": "optimized geometry",
  "e_form_raw_kj_per_mol_atoms": 147.1,
  "lattice_angstrom": [[4.981, 0.000, 0.000], [0.000, 4.981, 0.000], [0.000, 0.000, 4.981]],
  "species": ["K", "Nb", "S", "S", "S"],
  "frac_coords": [[0.000, 0.000, 0.000], [0.500, 0.500, 0.500], [0.000, 0.000, 0.500], [0.000, 0.500, 0.000], [0.500, 0.000, 0.000]]
}

[12]
{
  "formula": "FeCo2BN",
  "functional": "GGA-PBEsol",
  "state": "optimized geometry",
  "e_form_raw_kj_per_mol_atoms": 147.1,
  "lattice_angstrom": [[4.309, 0.000, 0.000], [0.000, 4.309, 0.000], [0.000, 0.000, 3.305]],
  "species": ["Fe", "Co", "Co", "B", "N"],
  "frac_coords": [[0.000, 0.000, 0.000], [0.000, 0.500, 0.000], [0.500, 0.000, 0.000], [0.500, 0.500, 0.500], [0.000, 0.000, 0.500]]
}